[1]
Material: VBH2Au
Method: DFT, GGA-PBE
State: relaxed Values from VASP.

## Properties
crystal system = tetragonal
V = 48 Å³/cell
VASP energy = -4.615 eV/atom

Quantum ESPRESSO input file:
```
&SYSTEM
  ibrav = 0, nat = 5, ntyp = 4
/
ATOMIC_SPECIES
B 10.81 B.upf
H 1.01 H.upf
V 50.94 V.upf
Au 196.97 Au.upf
CELL_PARAMETERS angstrom
3.3435 0.0000 0.0000
0.0000 3.3435 0.0000
0.0000 0.0000 4.2790
ATOMIC_POSITIONS crystal
B 0.0000 0.0000 0.5000
H 0.5000 0.0000 0.0000
H 0.0000 0.5000 0.0000
V 0.0000 0.0000 0.0000
Au 0.5000 0.5000 0.5000
```

=====

[2]
Material: Tl7Se2S2
Method: DFT, GGA-PBE
State: relaxed Values from VASP.

## Properties
energy relative to the elements, uncorrected = -251 meV/atom
crystal system = monoclinic
V = 362 Å³/cell

Quantum ESPRESSO input file:
```
&SYSTEM
  ibrav = 0, nat = 11, ntyp = 3
/
ATOMIC_SPECIES
Tl 204.38 Tl.upf
S 32.06 S.upf
Se 78.96 Se.upf
CELL_PARAMETERS angstrom
-0.0950 -1.7089 -7.6279
-3.2281 -6.2056 -0.9416
-5.2895 5.3420 2.1445
ATOMIC_POSITIONS crystal
Tl 0.9607 0.7249 0.4496
Tl 0.4924 0.7651 0.5076
Tl 0.4496 0.2751 0.9607
Tl 0.0000 0.0000 0.0000
Tl 0.5076 0.2349 0.4924
Tl 0.5504 0.7249 0.0393
Tl 0.0393 0.2751 0.5504
S 0.2481 0.9333 0.7519
S 0.7519 0.0667 0.2481
Se 0.2208 0.5000 0.2208
Se 0.7792 0.5000 0.7792
```

=====

[3]
Material: AcCl
Method: DFT, GGA-PBE
State: relaxed Values from VASP.

## Properties
energy relative to the elements, uncorrected = -1310 meV/atom
energy relative to the lowest polymorph listed for this composition = 0.0325 eV/atom
crystal system = cubic
V = 58 Å³/cell

Quantum ESPRESSO input file:
```
&SYSTEM
  ibrav = 0, nat = 2, ntyp = 2
/
ATOMIC_SPECIES
Ac 227.00 Ac.upf
Cl 35.45 Cl.upf
CELL_PARAMETERS angstrom
-4.1296 -0.8245 1.0403
-2.4715 -2.3800 -2.6539
-1.1867 -4.0091 1.1555
ATOMIC_POSITIONS crystal
Ac 0.5000 0.5000 0.5000
Cl 0.0000 0.0000 0.0000
```

=====

[4]
Material: LiCd2Cl
Method: DFT, GGA-PBE
State: relaxed Values from VASP.

## Properties
energy relative to the elements, uncorrected = -441 meV/atom
energy relative to the lowest polymorph listed for this composition = 0.2418 eV/atom
crystal system = tetragonal
V = 202 Å³/cell

Quantum ESPRESSO input file:
```
&SYSTEM
  ibrav = 0, nat = 8, ntyp = 3
/
ATOMIC_SPECIES
Li 6.94 Li.upf
Cd 112.41 Cd.upf
Cl 35.45 Cl.upf
CELL_PARAMETERS angstrom
-5.7362 -1.4346 -6.2100
-3.1284 -6.6453 4.4248
-6.2080 -2.3688 0.3616
ATOMIC_POSITIONS crystal
Li 0.2500 0.7500 0.5000
Li 0.5000 0.5000 0.0000
Cd 0.8750 0.8906 0.7500
Cd 0.6406 0.1250 0.2500
Cd 0.3750 0.3594 0.7500
Cd 0.1094 0.6250 0.2500
Cl 0.0000 0.0000 0.0000
Cl 0.7500 0.2500 0.5000
```

=====

[5]
Material: Nd14TmPu
Method: DFT, GGA-PBE
State: relaxed Values from VASP.

## Properties
energy of formation from the pure elements = 0.0421 eV per atom
crystal system = tetragonal
V = 551 Å³/cell

Quantum ESPRESSO input file:
```
&SYSTEM
  ibrav = 0, nat = 16, ntyp = 3
/
ATOMIC_SPECIES
Nd 144.24 Nd.upf
Pu 244.00 Pu.upf
Tm 168.93 Tm.upf
CELL_PARAMETERS angstrom
7.2441 0.9714 0.0000
-0.9724 7.2440 0.0000
0.0000 0.0000 10.3089
ATOMIC_POSITIONS crystal
Nd 0.3752 0.1251 0.0000
Nd 0.3752 0.6248 0.5000
Nd 0.6257 0.3743 0.2451
Nd 0.6258 0.8758 0.2450
Nd 0.1242 0.3742 0.7550
Nd 0.1242 0.3742 0.2450
Nd 0.1242 0.8758 0.7550
Nd 0.3748 0.1248 0.5000
Nd 0.1242 0.8758 0.2450
Nd 0.6257 0.3743 0.7549
Nd 0.8752 0.6252 0.5000
Nd 0.6258 0.8758 0.7550
Nd 0.8748 0.1252 0.5000
Nd 0.8749 0.6248 0.0000
Pu 0.8751 0.1249 0.0000
Tm 0.3749 0.6251 0.0000
```

=====

[6]
Material: Mg2AlAg
Method: DFT, GGA-PBE
State: relaxed Values from VASP.

## Properties
energy of formation from the pure elements = -0.0437 eV per atom
crystal system = orthorhombic
V = 77 Å³/cell

Quantum ESPRESSO input file:
```
&SYSTEM
  ibrav = 0, nat = 4, ntyp = 3
/
ATOMIC_SPECIES
Mg 24.30 Mg.upf
Al 26.98 Al.upf
Ag 107.87 Ag.upf
CELL_PARAMETERS angstrom
3.1168 0.0000 0.0000
0.0000 4.0349 0.0000
0.0000 0.0000 6.1092
ATOMIC_POSITIONS crystal
Mg 0.0000 0.0000 0.9872
Mg 0.5000 0.5000 0.2639
Al 0.5000 0.5000 0.7422
Ag 0.0000 0.0000 0.5067
```

=====

[7]
Material: RbScN2
Method: DFT, GGA-PBE
State: relaxed Values from VASP.

## Properties
energy relative to the elements, uncorrected = -31 meV/atom
energy relative to the lowest polymorph listed for this composition = 0.0000 eV/atom
crystal system = tetragonal
V = 175 Å³/cell

Quantum ESPRESSO input file:
```
&SYSTEM
  ibrav = 0, nat = 8, ntyp = 3
/
ATOMIC_SPECIES
Rb 85.47 Rb.upf
N 14.01 N.upf
Sc 44.96 Sc.upf
CELL_PARAMETERS angstrom
-3.1449 2.6581 3.2381
-3.9575 -3.2132 -1.2060
-1.8741 -4.1467 5.8210
ATOMIC_POSITIONS crystal
Rb 0.0000 0.0000 0.0000
Rb 0.7500 0.2500 0.5000
N 0.8750 0.6264 0.7500
N 0.3750 0.6236 0.7500
N 0.3736 0.6250 0.2500
N 0.3764 0.1250 0.2500
Sc 0.5000 0.5000 0.0000
Sc 0.2500 0.7500 0.5000
```

=====

[8]
Material: RbEuBi
Method: DFT, GGA-PBE
State: relaxed Values from VASP.

## Properties
energy of formation from the pure elements = -0.4284 eV per atom
crystal system = tetragonal
V = 141 Å³/cell

Quantum ESPRESSO input file:
```
&SYSTEM
  ibrav = 0, nat = 3, ntyp = 3
/
ATOMIC_SPECIES
Rb 85.47 Rb.upf
Bi 208.98 Bi.upf
Eu 151.96 Eu.upf
CELL_PARAMETERS angstrom
4.5589 0.0000 0.0000
0.0000 4.5589 0.0000
-2.2794 -2.2794 6.7996
ATOMIC_POSITIONS crystal
Rb 0.0101 0.0101 0.0202
Bi 0.7162 0.7162 0.4325
Eu 0.2737 0.2737 0.5474
```

=====

[9]
Material: Na2CaHPb
Method: DFT, GGA-PBE
State: relaxed Values from VASP.

## Properties
crystal system = tetragonal
V = 116 Å³/cell
VASP energy = -2.623 eV/atom

Quantum ESPRESSO input file:
```
&SYSTEM
  ibrav = 0, nat = 5, ntyp = 4
/
ATOMIC_SPECIES
Na 22.99 Na.upf
H 1.01 H.upf
Pb 207.20 Pb.upf
Ca 40.08 Ca.upf
CELL_PARAMETERS angstrom
-2.6863 1.4763 3.7164
-0.4334 -4.5581 1.4975
4.1124 0.5180 2.7667
ATOMIC_POSITIONS crystal
Na 0.5000 0.0000 0.0000
Na 0.0000 0.5000 0.0000
H 0.0000 0.0000 0.0000
Pb 0.5000 0.5000 0.5000
Ca 0.0000 0.0000 0.5000
```

=====

[10]
Material: La7SmIn4
Method: DFT, GGA-PBE
State: relaxed Values from VASP.

## Properties
energy of formation from the pure elements = -0.1821 eV per atom
crystal system = monoclinic
V = 408 Å³/cell

Quantum ESPRESSO input file:
```
&SYSTEM
  ibrav = 0, nat = 12, ntyp = 3
/
ATOMIC_SPECIES
La 138.91 La.upf
In 114.82 In.upf
Sm 150.36 Sm.upf
CELL_PARAMETERS angstrom
-0.2381 5.4960 2.3212
-6.7470 -0.0507 7.1071
4.4344 0.6634 6.5633
ATOMIC_POSITIONS crystal
La 0.7973 0.8808 0.5246
La 0.9393 0.3803 0.7411
La 0.2027 0.1192 0.4754
La 0.5000 0.0000 0.0000
La 0.7098 0.3557 0.2248
La 0.0607 0.6197 0.2589
La 0.2902 0.6443 0.7752
In 0.4417 0.7606 0.3561
In 0.3167 0.3318 0.0348
In 0.6833 0.6682 0.9652
In 0.5583 0.2394 0.6439
Sm 0.0000 0.0000 0.0000
```

=====

[11]
Material: Nb3MoPd
Method: DFT, GGA-PBE
State: relaxed Values from VASP.

## Properties
energy of formation from the pure elements = 1.2349 eV per atom
energy relative to the lowest polymorph listed for this composition = 0.0000 eV/atom
crystal system = cubic
V = 109 Å³/cell

Quantum ESPRESSO input file:
```
&SYSTEM
  ibrav = 0, nat = 5, ntyp = 3
/
ATOMIC_SPECIES
Pd 106.42 Pd.upf
Nb 92.91 Nb.upf
Mo 95.94 Mo.upf
CELL_PARAMETERS angstrom
4.7799 0.0000 0.0000
0.0000 4.7799 0.0000
0.0000 0.0000 4.7799
ATOMIC_POSITIONS crystal
Pd 0.5000 0.5000 0.5000
Nb 0.5000 0.0000 0.0000
Nb 0.0000 0.5000 0.0000
Nb 0.0000 0.0000 0.5000
Mo 0.0000 0.0000 0.0000
```

=====

[12]
Material: NaSrF2
Method: DFT, GGA-PBE
State: relaxed Values from VASP.

## Properties
energy relative to the elements, uncorrected = -2828 meV/atom
energy relative to the lowest polymorph listed for this composition = 0.0000 eV/atom
crystal system = trigonal
V = 93 Å³/cell

Quantum ESPRESSO input file:
```
&SYSTEM
  ibrav = 0, nat = 4, ntyp = 3
/
ATOMIC_SPECIES
F 19.00 F.upf
Na 22.99 Na.upf
Sr 87.62 Sr.upf
CELL_PARAMETERS angstrom
2.3113 0.0000 6.6939
-1.1556 2.0016 6.6939
-1.1556 -2.0016 6.6939
ATOMIC_POSITIONS crystal
F 0.8802 0.8802 0.8802
F 0.1198 0.1198 0.1198
Na 0.0000 0.0000 0.0000
Sr 0.5000 0.5000 0.5000
```

=====

> Which value of V does entry 3 give?

58 Å³/cell